[1]
The following is a PBE calculation of a relaxed MgZr2Cr crystal, from the Alexandria database.

Lattice parameters (Å, degrees): 3.2338 4.9675 10.0154 90.00 90.00 90.00
With the nearest neighbours (Å) after each atom.
Fractional coordinates of all 8 atoms:
Mg1 0.0000 0.0000 0.0000  2 Cr 2.79, 4 Zr 3.01
Mg2 0.5000 0.5000 0.5000  2 Cr 2.79, 4 Zr 3.01
Zr1 0.0000 0.0000 0.5538  2 Cr 2.73, 4 Mg 3.01
Zr2 0.0000 0.5000 0.7736  4 Cr 2.96, 2 Mg 3.18, 6 Zr 3.23-3.32
Zr3 0.5000 0.0000 0.2736  4 Cr 2.96, 2 Mg 3.18, 6 Zr 3.23-3.32
Zr4 0.5000 0.5000 0.0538  2 Cr 2.73, 4 Mg 3.01
Cr1 0.0000 0.5000 0.2728  6 Zr 2.73-2.96, 2 Mg 2.79
Cr2 0.5000 0.0000 0.7728  6 Zr 2.73-2.96, 2 Mg 2.79

As for the formation energy: 22.5 kJ/mol of atoms. Its theoretical density is 5.34 g/cm³. As for the volume: 160.9 Å³/cell. As for the density of states at the Fermi level: 0.96 states/eV/atom.



[2]
The following is a PBE calculation of a relaxed MgZr2Cr crystal, from the Alexandria database.

Lattice parameters (Å, degrees): 4.2229 4.2229 9.0585 90.00 90.00 90.00
With the nearest neighbours (Å) after each atom.
Fractional coordinates of all 8 atoms:
Mg1 0.0000 0.0000 0.0000  8 Zr 2.99-3.10, 4 Cr 3.10
Mg2 0.5000 0.5000 0.5000  8 Zr 2.99-3.10, 4 Cr 3.10
Zr1 0.0000 0.0000 0.5000  4 Mg 2.99, 4 Zr 3.10, 4 Cr 3.10
Zr2 0.0000 0.5000 0.7500  4 Cr 2.99, 4 Zr 3.10, 4 Mg 3.10
Zr3 0.5000 0.0000 0.2500  4 Cr 2.99, 4 Zr 3.10, 4 Mg 3.10
Zr4 0.5000 0.5000 0.0000  4 Mg 2.99, 4 Zr 3.10, 4 Cr 3.10
Cr1 0.0000 0.5000 0.2500  8 Zr 2.99-3.10, 4 Mg 3.10
Cr2 0.5000 0.0000 0.7500  8 Zr 2.99-3.10, 4 Mg 3.10

As for the formation energy: 24.6 kJ/mol of atoms. Its theoretical density is 5.32 g/cm³. As for the volume: 161.5 Å³/cell. As for the density of states at the Fermi level: 1.06 states/eV/atom.



[3]
The following is a PBE calculation of a relaxed Mg2ZrCr crystal, from the Alexandria database.

Lattice parameters (Å, degrees): 6.8319 6.8319 6.8319 90.00 90.00 90.00
With the nearest neighbours (Å) after each atom.
Fractional coordinates of all 16 atoms:
Mg1 0.0000 0.0000 0.0000  4 Zr 2.96, 4 Mg 2.96
Mg2 0.0000 0.5000 0.5000  4 Mg 2.96, 4 Zr 2.96
Mg3 0.2500 0.2500 0.2500  4 Cr 2.96, 4 Mg 2.96
Mg4 0.2500 0.7500 0.7500  4 Cr 2.96, 4 Mg 2.96
Mg5 0.5000 0.0000 0.5000  4 Mg 2.96, 4 Zr 2.96
Mg6 0.5000 0.5000 0.0000  4 Mg 2.96, 4 Zr 2.96
Mg7 0.7500 0.2500 0.7500  4 Cr 2.96, 4 Mg 2.96
Mg8 0.7500 0.7500 0.2500  4 Cr 2.96, 4 Mg 2.96
Zr1 0.2500 0.2500 0.7500  4 Cr 2.96, 4 Mg 2.96
Zr2 0.2500 0.7500 0.2500  4 Cr 2.96, 4 Mg 2.96
Zr3 0.7500 0.2500 0.2500  4 Cr 2.96, 4 Mg 2.96
Zr4 0.7500 0.7500 0.7500  4 Cr 2.96, 4 Mg 2.96
Cr1 0.0000 0.0000 0.5000  4 Zr 2.96, 4 Mg 2.96
Cr2 0.0000 0.5000 0.0000  4 Zr 2.96, 4 Mg 2.96
Cr3 0.5000 0.0000 0.0000  4 Zr 2.96, 4 Mg 2.96
Cr4 0.5000 0.5000 0.5000  4 Zr 2.96, 4 Mg 2.96

As for the formation energy: 25.3 kJ/mol of atoms. Its theoretical density is 4.00 g/cm³. As for the volume: 318.9 Å³/cell. As for the density of states at the Fermi level: 0.49 states/eV/atom.



[4]
The following is a PBE calculation of a relaxed Mg2ZrCr crystal, from the Alexandria database.

Lattice parameters (Å, degrees): 2.8042 2.8042 9.4693 90.00 90.00 90.00
With the nearest neighbours (Å) after each atom.
Fractional coordinates of all 4 atoms:
Mg1 0.0000 0.0000 0.2195  4 Mg 2.80, 4 Cr 2.87
Mg2 0.0000 0.0000 0.7805  4 Mg 2.80, 4 Cr 2.87
Zr1 0.5000 0.5000 0.5000  4 Zr 2.80
Cr1 0.5000 0.5000 0.0000  4 Cr 2.80, 8 Mg 2.87

As for the formation energy: 42.5 kJ/mol of atoms. Its theoretical density is 4.28 g/cm³. As for the volume: 74.5 Å³/cell. As for the density of states at the Fermi level: 0.57 states/eV/atom.



[5]
The following is a PBE calculation of a relaxed Mg2ZrCr crystal, from the Alexandria database.

Lattice parameters (Å, degrees): 4.1145 4.1145 4.7030 90.00 90.00 90.00
With the nearest neighbours (Å) after each atom.
Fractional coordinates of all 4 atoms:
Mg1 0.0000 0.5000 0.0000  4 Mg 2.91, 4 Cr 3.12, 4 Zr 3.12
Mg2 0.5000 0.0000 0.0000  4 Mg 2.91, 4 Cr 3.12, 4 Zr 3.12
Zr1 0.0000 0.0000 0.5000  4 Cr 2.91, 8 Mg 3.12
Cr1 0.5000 0.5000 0.5000  4 Zr 2.91, 8 Mg 3.12

As for the formation energy: 25.8 kJ/mol of atoms. Its theoretical density is 4.00 g/cm³. As for the volume: 79.6 Å³/cell. As for the density of states at the Fermi level: 0.96 states/eV/atom.



[6]
The following is a PBE calculation of a relaxed Mg2ZrCr crystal, from the Alexandria database.

Lattice parameters (Å, degrees): 6.8273 6.8273 6.8273 90.00 90.00 90.00
With the nearest neighbours (Å) after each atom.
Fractional coordinates of all 16 atoms:
Mg1 0.2500 0.2500 0.2500  4 Cr 2.96, 4 Zr 2.96
Mg2 0.2500 0.2500 0.7500  4 Cr 2.96, 4 Zr 2.96
Mg3 0.2500 0.7500 0.2500  4 Cr 2.96, 4 Zr 2.96
Mg4 0.2500 0.7500 0.7500  4 Cr 2.96, 4 Zr 2.96
Mg5 0.7500 0.2500 0.2500  4 Cr 2.96, 4 Zr 2.96
Mg6 0.7500 0.2500 0.7500  4 Cr 2.96, 4 Zr 2.96
Mg7 0.7500 0.7500 0.2500  4 Cr 2.96, 4 Zr 2.96
Mg8 0.7500 0.7500 0.7500  4 Cr 2.96, 4 Zr 2.96
Zr1 0.0000 0.0000 0.0000  8 Mg 2.96
Zr2 0.0000 0.5000 0.5000  8 Mg 2.96
Zr3 0.5000 0.0000 0.5000  8 Mg 2.96
Zr4 0.5000 0.5000 0.0000  8 Mg 2.96
Cr1 0.0000 0.0000 0.5000  8 Mg 2.96
Cr2 0.0000 0.5000 0.0000  8 Mg 2.96
Cr3 0.5000 0.0000 0.0000  8 Mg 2.96
Cr4 0.5000 0.5000 0.5000  8 Mg 2.96

As for the formation energy: 31.5 kJ/mol of atoms. Its theoretical density is 4.00 g/cm³. As for the volume: 318.2 Å³/cell. As for the density of states at the Fermi level: 0.68 states/eV/atom.



[7]
The following is a PBE calculation of a relaxed MgZr2Cr crystal, from the Alexandria database.

Lattice parameters (Å, degrees): 6.8593 6.8593 6.8593 90.00 90.00 90.00
With the nearest neighbours (Å) after each atom.
Fractional coordinates of all 16 atoms:
Mg1 0.0000 0.0000 0.0000  4 Cr 2.97, 4 Zr 2.97
Mg2 0.0000 0.5000 0.5000  4 Cr 2.97, 4 Zr 2.97
Mg3 0.5000 0.0000 0.5000  4 Cr 2.97, 4 Zr 2.97
Mg4 0.5000 0.5000 0.0000  4 Cr 2.97, 4 Zr 2.97
Zr1 0.0000 0.0000 0.5000  4 Zr 2.97, 4 Cr 2.97
Zr2 0.0000 0.5000 0.0000  4 Zr 2.97, 4 Cr 2.97
Zr3 0.2500 0.2500 0.2500  4 Zr 2.97, 4 Mg 2.97
Zr4 0.2500 0.7500 0.7500  4 Zr 2.97, 4 Mg 2.97
Zr5 0.5000 0.0000 0.0000  4 Zr 2.97, 4 Cr 2.97
Zr6 0.5000 0.5000 0.5000  4 Zr 2.97, 4 Cr 2.97
Zr7 0.7500 0.2500 0.7500  4 Zr 2.97, 4 Mg 2.97
Zr8 0.7500 0.7500 0.2500  4 Zr 2.97, 4 Mg 2.97
Cr1 0.2500 0.2500 0.7500  4 Zr 2.97, 4 Mg 2.97
Cr2 0.2500 0.7500 0.2500  4 Zr 2.97, 4 Mg 2.97
Cr3 0.7500 0.2500 0.2500  4 Zr 2.97, 4 Mg 2.97
Cr4 0.7500 0.7500 0.7500  4 Mg 2.97, 4 Zr 2.97

As for the formation energy: 27.1 kJ/mol of atoms. Its theoretical density is 5.33 g/cm³. As for the volume: 322.7 Å³/cell. As for the density of states at the Fermi level: 0.72 states/eV/atom.



[8]
The following is a PBE calculation of a relaxed MgZr3Cr crystal, from the Alexandria database.

Lattice parameters (Å, degrees): 4.8932 4.8932 4.8932 90.00 90.00 90.00
With the nearest neighbours (Å) after each atom.
Fractional coordinates of all 5 atoms:
Mg1 0.0000 0.0000 0.0000  12 Zr 3.46
Zr1 0.0000 0.5000 0.5000  2 Cr 2.45
Zr2 0.5000 0.0000 0.5000  2 Cr 2.45
Zr3 0.5000 0.5000 0.0000  2 Cr 2.45
Cr1 0.5000 0.5000 0.5000  6 Zr 2.45

As for the formation energy: 45.3 kJ/mol of atoms. Its theoretical density is 4.96 g/cm³. As for the volume: 117.2 Å³/cell. As for the density of states at the Fermi level: 1.59 states/eV/atom.



[9]
The following is a PBE calculation of a relaxed Mg2ZrCr crystal, from the Alexandria database.

Lattice parameters (Å, degrees): 11.2716 3.2433 4.7152 90.00 114.58 90.00
With the nearest neighbours (Å) after each atom.
Fractional coordinates of all 8 atoms:
Mg1 0.2278 0.0000 0.2277  2 Cr 2.84, 4 Mg 2.90
Mg2 0.2722 0.5000 0.7723  2 Cr 2.84, 4 Mg 2.90
Mg3 0.7278 0.5000 0.2277  2 Cr 2.84, 4 Mg 2.90
Mg4 0.7722 0.0000 0.7723  2 Cr 2.84, 4 Mg 2.90
Zr1 0.0000 0.0000 0.5000  4 Cr 2.86
Zr2 0.5000 0.5000 0.5000  4 Cr 2.86
Cr1 0.0000 0.5000 0.0000  4 Mg 2.84, 4 Zr 2.86
Cr2 0.5000 0.0000 0.0000  4 Mg 2.84, 4 Zr 2.86

As for the formation energy: 25.0 kJ/mol of atoms. Its theoretical density is 4.06 g/cm³. As for the volume: 156.8 Å³/cell. As for the density of states at the Fermi level: 0.85 states/eV/atom.



[10]
The following is a PBE calculation of a relaxed MgZr2Cr2 crystal, from the Alexandria database.

Lattice parameters (Å, degrees): 7.3521 7.3521 3.4127 90.00 90.00 90.00
With the nearest neighbours (Å) after each atom.
Fractional coordinates of all 10 atoms:
Mg1 0.0000 0.0000 0.0000  4 Cr 3.05, 8 Zr 3.17, 2 Mg 3.41
Mg2 0.5000 0.5000 0.0000  4 Cr 3.05, 8 Zr 3.17, 2 Mg 3.41
Zr1 0.1929 0.3071 0.5000  6 Cr 2.78-2.82
Zr2 0.3071 0.8071 0.5000  6 Cr 2.78-2.82
Zr3 0.6929 0.1929 0.5000  6 Cr 2.78-2.82
Zr4 0.8071 0.6929 0.5000  6 Cr 2.78-2.82
Cr1 0.0962 0.5962 0.0000  1 Cr 2.00
Cr2 0.4038 0.0962 0.0000  1 Cr 2.00
Cr3 0.5962 0.9038 0.0000  1 Cr 2.00
Cr4 0.9038 0.4038 0.0000  1 Cr 2.00

As for the formation energy: 20.1 kJ/mol of atoms. Its theoretical density is 5.59 g/cm³. As for the volume: 184.5 Å³/cell. As for the density of states at the Fermi level: 0.82 states/eV/atom.